1.
LaAlCrPt2 | SCAN | single point on PBEsol structure

```
5
Lattice="4.898 0.000 0.000 0.000 5.108 0.000 0.000 0.000 5.108" Properties=species:S:1:pos:R:3 pbc="T T T"
La 0.000 0.000 0.000
Pt 0.000 0.000 2.554
Pt 0.000 2.554 0.000
Cr 2.449 0.000 0.000
Al 2.449 2.554 2.554
```

ΔE_f in meV per atom: 1176
Crystal system: tetragonal
Electronic total energy in eV for the cell shown: -203.75

=====

2.
Sm3HoS4 | SCAN | single point on PBEsol structure

```
8
Lattice="-0.471 0.948 3.759 -3.498 -0.401 1.691 1.716 -11.886 5.241" Properties=species:S:1:pos:R:3 pbc="T T T"
S -2.290 -1.051 4.035
S -2.835 -3.955 6.728
S 0.582 -7.383 3.964
S 0.036 -10.288 6.657
Sm -1.127 -5.669 5.346
Sm -0.574 -2.793 2.661
Sm -1.680 -8.545 8.031
Ho 0.000 0.000 0.000
```

Uncorrected formation energy in eV/atom: -2.26
Crystal system: trigonal
Electronic total energy in eV for the cell shown: -238.93

=====

3.
K3Ba | SCAN | single point on PBEsol structure

```
4
Lattice="4.450 0.000 0.000 -2.225 7.626 0.017 0.000 -1.285 7.914" Properties=species:S:1:pos:R:3 pbc="T T T"
K 0.000 2.821 5.954
K 2.225 -0.642 3.957
K 2.225 3.521 1.977
Ba 0.000 0.000 0.000
```

ΔE_f in meV per atom: 93
Crystal system: monoclinic
Electronic total energy in eV for the cell shown: -64.16

=====

4.
AlInSi | SCAN | single point on PBEsol structure

```
3
Lattice="-4.004 1.963 0.545 -3.426 -2.330 1.736 -1.495 0.945 4.129" Properties=species:S:1:pos:R:3 pbc="T T T"
Al -2.231 0.145 1.603
In 0.000 0.000 0.000
Si -4.462 0.289 3.205
```

Uncorrected formation energy in eV/atom: 0.36
Crystal system: cubic
Electronic total energy in eV for the cell shown: -50.08
Excess energy over the best structure of this formula in the dataset in eV/f.u.: 0.11

=====

5.
Ag2HgIr | SCAN | single point on PBEsol structure

```
4
Lattice="2.834 0.000 0.000 1.417 2.455 0.000 1.417 0.818 9.564" Properties=species:S:1:pos:R:3 pbc="T T T"
Ag 4.252 2.455 7.285
Ag 1.417 0.818 2.278
Hg 2.834 1.636 4.782
Ir 0.000 0.000 0.000
```

ΔE_f in meV per atom: 317
Crystal system: trigonal
Electronic total energy in eV for the cell shown: -200.73

=====

6.
SiHgSe2N | SCAN | single point on PBEsol structure

```
5
Lattice="3.259 0.000 0.000 0.000 5.213 0.000 0.000 0.000 5.213" Properties=species:S:1:pos:R:3 pbc="T T T"
N 1.630 0.000 0.000
Se 0.000 2.606 0.000
Se 0.000 0.000 2.606
Hg 1.630 2.606 2.606
Si 0.000 0.000 0.000
```

Uncorrected formation energy in eV/atom: 0.22
Crystal system: tetragonal
Electronic total energy in eV for the cell shown: -126.54

=====

7.
AgHgSb2O | SCAN | single point on PBEsol structure

```
5
Lattice="3.851 0.000 0.000 0.000 5.429 0.000 0.000 0.000 5.429" Properties=species:S:1:pos:R:3 pbc="T T T"
Sb 0.000 2.715 0.000
Sb 0.000 0.000 2.715
O 1.925 0.000 0.000
Ag 0.000 0.000 0.000
Hg 1.925 2.715 2.715
```

Uncorrected formation energy in eV/atom: 0.37
Crystal system: tetragonal
Electronic total energy in eV for the cell shown: -178.41

=====

8.
CdSi2Ni | SCAN | single point on PBEsol structure

```
4
Lattice="2.794 0.000 0.000 0.000 2.793 0.000 0.000 0.000 7.645" Properties=species:S:1:pos:R:3 pbc="T T T"
Si 0.000 0.000 2.383
Si 0.000 0.000 5.263
Cd 1.397 1.396 0.000
Ni 1.397 1.396 3.823
```

Uncorrected formation energy in eV/atom: 0.13
Crystal system: tetragonal
Electronic total energy in eV for the cell shown: -66.10